A plane-wave DFT calculation with SCAN was carried out for Cr2SnRuW at its PBEsol-relaxed geometry.

```
Cr2SnRuW
1.0
4.6863 0.0000 0.0000
0.0000 4.6863 0.0000
0.0000 0.0000 4.9181
Ru Sn W Cr
1 1 1 2
direct
0.5000 0.5000 0.5000
0.0000 0.0000 0.0000
0.0000 0.0000 0.5000
0.0000 0.5000 0.0000
0.5000 0.0000 0.0000
```

total moment: 5.93 μB per cell
crystal system: tetragonal
total DFT energy (no corrections): -166.12 eV per cell
theoretical density: 7.8 Mg/m³